An optimized crystal structure of InTcMo2. Source: the Alexandria database, functional PBEsol.

Summary:
**E_tot**: -9.063 eV per atom
**Calculated volume**: 127.4 Å³ per cell

Cell: 5.420 8.303 2.831 Å, 90.00 90.00 90.00°
Space group Cmmm (No. 65)
Asymmetric unit:
In 0.000 0.000 0.000 x2
Tc 0.000 0.500 0.000 x2
Mo 0.250 0.250 0.500 x4


An optimized crystal structure of InTc2Mo. Source: the Alexandria database, functional PBEsol.

Summary:
**E_tot**: -9.059 eV per atom
**Calculated volume**: 125.4 Å³ per cell

Cell: 3.130 4.587 8.735 Å, 90.00 90.00 90.00°
Space group Immm (No. 71)
Asymmetric unit:
In 0.000 0.000 0.000 x2
Tc 0.000 0.500 0.234 x4
Mo 0.000 0.000 0.500 x2


An optimized crystal structure of InTc2Mo. Source: the Alexandria database, functional PBEsol.

Summary:
**E_tot**: -8.894 eV per atom
**Calculated volume**: 250.3 Å³ per cell

Cell: 6.302 6.302 6.302 Å, 90.00 90.00 90.00°
Space group F-43m (No. 216)
Asymmetric unit:
In 0.000 0.000 0.000 x4
Tc 0.000 0.000 0.500 x4
Tc 0.250 0.250 0.750 x4
Mo 0.250 0.250 0.250 x4


An optimized crystal structure of InTeMo2. Source: the Alexandria database, functional PBEsol.

Summary:
**Offset from the most stable computed form**: 0 meV per atom
**E_form (uncorrected)**: 294 meV per atom
**Calculated volume**: 238.1 Å³ per cell

Cell: 3.2453 3.2453 26.1077 Å, 90.00 90.00 120.00°
Space group R3m (No. 160, hexagonal axes)
Asymmetric unit:
In 0.0000 0.0000 0.0000 x3
Te 0.0000 0.0000 0.7681 x3
Mo 0.0000 0.0000 0.2485 x3
Mo 0.0000 0.0000 0.5152 x3


An optimized crystal structure of InTe2Mo. Source: the Alexandria database, functional PBEsol.

Summary:
**E_form (uncorrected)**: 64 meV per atom
**Calculated volume**: 285.6 Å³ per cell

Cell: 3.3126 3.3126 30.0491 Å, 90.00 90.00 120.00°
Space group R3m (No. 160, hexagonal axes)
Asymmetric unit:
In 0.0000 0.0000 0.0000 x3
Te 0.0000 0.0000 0.2476 x3
Te 0.0000 0.0000 0.4663 x3
Mo 0.0000 0.0000 0.7383 x3


An optimized crystal structure of InTe2Mo. Source: the Alexandria database, functional PBEsol.

Summary:
**E_form (uncorrected)**: 127 meV per atom
**Calculated volume**: 94.5 Å³ per cell

Cell: 3.195 3.195 9.263 Å, 90.00 90.00 90.00°
Space group P4mm (No. 99)
Asymmetric unit:
In 0.000 0.000 0.000 x1
Te 0.000 0.000 0.371 x1
Te 0.500 0.500 0.719 x1
Mo 0.500 0.500 0.201 x1


An optimized crystal structure of InTeMo3. Source: the Alexandria database, functional PBEsol.

Summary:
**E_form (uncorrected)**: 2366 meV per atom
**Calculated volume**: 115.9 Å³ per cell

Cell: 4.876 4.876 4.876 Å, 90.00 90.00 90.00°
Space group Pm-3m (No. 221)
Asymmetric unit:
In 0.000 0.000 0.000 x1
Te 0.500 0.500 0.500 x1
Mo 0.000 0.000 0.500 x3


An optimized crystal structure of InTeMo. Source: the Alexandria database, functional PBEsol.

Summary:
**E_form (uncorrected)**: 124 meV per atom
**Calculated volume**: 64.1 Å³ per cell

Cell: 3.3528 3.3528 6.5876 Å, 90.00 90.00 120.00°
Space group P3m1 (No. 156)
Asymmetric unit:
In 0.0000 0.0000 0.0000 x1
Te 0.6667 0.3333 0.4081 x1
Mo 0.3333 0.6667 0.6829 x1


Number 1: density of states at the Fermi level 7.82 states/eV per cell. Number 2: density of states at the Fermi level 6.44 states/eV per cell. Number 3: density of states at the Fermi level 21.20 states/eV per cell. Number 4: density of states at the Fermi level 5.99 states/eV per cell. Number 5: density of states at the Fermi level 7.41 states/eV per cell. Number 6: density of states at the Fermi level 2.46 states/eV per cell. Number 7: density of states at the Fermi level 8.96 states/eV per cell. Number 8: density of states at the Fermi level 2.32 states/eV per cell.